1:
TaPdNF2: relaxed, GGA-PBE.

a b c (Å): 4.0570 4.0570 4.1671
angles (deg): 90.00 90.00 90.00
With the nearest neighbours (Å) after each atom.
Element x y z (fractional)
Ta1 0.0000 0.0000 0.0000  4 N 2.87, 8 F 2.91
Pd1 0.5000 0.5000 0.5000  4 F 2.03, 2 N 2.08
N1 0.5000 0.5000 0.0000  2 Pd 2.08
F1 0.0000 0.5000 0.5000  2 Pd 2.03
F2 0.5000 0.0000 0.5000  2 Pd 2.03

Values from the calculation:
DOS(E_F) in states/eV per cell: 4.93
Total moment in μB per formula unit: 2.05
Density in g/cm3: 8.22

=====

2:
TaPdNF2: relaxed, GGA-PBE.

a b c (Å): 4.1069 4.1069 4.0109
angles (deg): 90.00 90.00 90.00
With the nearest neighbours (Å) after each atom.
Element x y z (fractional)
Ta1 0.0000 0.0000 0.0000  2 N 2.01, 4 F 2.05
Pd1 0.5000 0.5000 0.5000  8 F 2.87, 4 N 2.90
N1 0.0000 0.0000 0.5000  2 Ta 2.01
F1 0.0000 0.5000 0.0000  2 Ta 2.05
F2 0.5000 0.0000 0.0000  2 Ta 2.05

Values from the calculation:
DOS(E_F) in states/eV per cell: 1.64
Total moment in μB per formula unit: 0.00
Density in g/cm3: 8.33

=====

Most stable: 2

=====

1:
TcPdN2F: relaxed, GGA-PBE.

a b c (Å): 4.0004 4.0004 4.0588
angles (deg): 90.00 90.00 90.00
With the nearest neighbours (Å) after each atom.
Element x y z (fractional)
Tc1 0.0000 0.0000 0.0000  4 F 2.83, 8 N 2.85
Pd1 0.5000 0.5000 0.5000  4 N 2.00, 2 F 2.03
N1 0.0000 0.5000 0.5000  2 Pd 2.00
N2 0.5000 0.0000 0.5000  2 Pd 2.00
F1 0.5000 0.5000 0.0000  2 Pd 2.03

Values from the calculation:
DOS(E_F) in states/eV per cell: 2.14
Total moment in μB per formula unit: 2.64
Density in g/cm3: 6.43

=====

2:
TcPdN2F: relaxed, GGA-PBE.

a b c (Å): 3.8816 3.8816 4.0713
angles (deg): 90.00 90.00 90.00
With the nearest neighbours (Å) after each atom.
Element x y z (fractional)
Tc1 0.0000 0.0000 0.0000  4 N 1.94, 2 F 2.04
Pd1 0.5000 0.5000 0.5000  4 F 2.74, 8 N 2.81
N1 0.0000 0.5000 0.0000  2 Tc 1.94
N2 0.5000 0.0000 0.0000  2 Tc 1.94
F1 0.0000 0.0000 0.5000  2 Tc 2.04

Values from the calculation:
DOS(E_F) in states/eV per cell: 2.84
Total moment in μB per formula unit: 0.00
Density in g/cm3: 6.81

=====

Most stable: 2

=====

1:
TePdN2F: relaxed, GGA-PBE.

a b c (Å): 4.0802 4.0802 4.2006
angles (deg): 90.00 90.00 90.00
With the nearest neighbours (Å) after each atom.
Element x y z (fractional)
Te1 0.0000 0.0000 0.0000  4 N 2.04, 2 F 2.10
Pd1 0.5000 0.5000 0.5000  4 F 2.89, 8 N 2.93
N1 0.0000 0.5000 0.0000  2 Te 2.04
N2 0.5000 0.0000 0.0000  2 Te 2.04
F1 0.0000 0.0000 0.5000  2 Te 2.10

Values from the calculation:
DOS(E_F) in states/eV per cell: 4.50
Total moment in μB per formula unit: 0.57
Density in g/cm3: 6.67

=====

2:
TePdN2F: relaxed, GGA-PBE.

a b c (Å): 4.2226 4.2226 4.2014
angles (deg): 90.00 90.00 90.00
With the nearest neighbours (Å) after each atom.
Element x y z (fractional)
Te1 0.0000 0.0000 0.0000  2 F 2.10
Pd1 0.5000 0.5000 0.0000  8 N 2.98, 4 Te 2.99
N1 0.0000 0.5000 0.5000  2 F 2.11
N2 0.5000 0.0000 0.5000  2 F 2.11
F1 0.0000 0.0000 0.5000  2 Te 2.10, 4 N 2.11

Values from the calculation:
DOS(E_F) in states/eV per cell: 2.67
Total moment in μB per formula unit: 3.22
Density in g/cm3: 6.23

=====

Most stable: 1

=====

1:
TePdN2F: relaxed, GGA-PBE.

a b c (Å): 3.9036 3.9036 5.7897
angles (deg): 90.00 90.00 90.00
With the nearest neighbours (Å) after each atom.
Element x y z (fractional)
Te1 0.0000 0.0000 0.0000  4 F 2.76, 2 Pd 2.89
Pd1 0.0000 0.0000 0.5000  4 N 1.95
N1 0.0000 0.5000 0.5000  2 Pd 1.95
N2 0.5000 0.0000 0.5000  2 Pd 1.95
F1 0.5000 0.5000 0.0000  4 Te 2.76

Values from the calculation:
DOS(E_F) in states/eV per cell: 2.44
Total moment in μB per formula unit: 3.64
Density in g/cm3: 5.29

=====

2:
TePdN2F: relaxed, GGA-PBE.

a b c (Å): 4.1012 4.1012 4.0369
angles (deg): 90.00 90.00 90.00
With the nearest neighbours (Å) after each atom.
Element x y z (fractional)
Te1 0.0000 0.0000 0.0000  8 N 2.88, 4 F 2.90
Pd1 0.5000 0.5000 0.5000  2 F 2.02, 4 N 2.05
N1 0.0000 0.5000 0.5000  2 Pd 2.05
N2 0.5000 0.0000 0.5000  2 Pd 2.05
F1 0.5000 0.5000 0.0000  2 Pd 2.02

Values from the calculation:
DOS(E_F) in states/eV per cell: 3.26
Total moment in μB per formula unit: 0.53
Density in g/cm3: 6.87

=====

Most stable: 2

=====

1:
TiPdNF2: relaxed, GGA-PBE.

a b c (Å): 4.2031 4.2031 3.9441
angles (deg): 90.00 90.00 90.00
With the nearest neighbours (Å) after each atom.
Element x y z (fractional)
Ti1 0.0000 0.0000 0.0000  8 F 2.88, 4 N 2.97
Pd1 0.5000 0.5000 0.5000  2 N 1.97, 4 F 2.10
N1 0.5000 0.5000 0.0000  2 Pd 1.97
F1 0.0000 0.5000 0.5000  2 Pd 2.10
F2 0.5000 0.0000 0.5000  2 Pd 2.10

Values from the calculation:
DOS(E_F) in states/eV per cell: 4.48
Total moment in μB per formula unit: 1.43
Density in g/cm3: 4.92

=====

2:
TiPdNF2: relaxed, GGA-PBE.

a b c (Å): 3.9149 3.9149 4.0215
angles (deg): 90.00 90.00 90.00
With the nearest neighbours (Å) after each atom.
Element x y z (fractional)
Ti1 0.0000 0.0000 0.0000  4 F 1.96, 2 N 2.01
Pd1 0.5000 0.5000 0.5000  4 N 2.77, 8 F 2.81
N1 0.0000 0.0000 0.5000  2 Ti 2.01
F1 0.0000 0.5000 0.0000  2 Ti 1.96
F2 0.5000 0.0000 0.0000  2 Ti 1.96

Values from the calculation:
DOS(E_F) in states/eV per cell: 4.02
Total moment in μB per formula unit: 0.32
Density in g/cm3: 5.56

=====

Most stable: 2

=====

1:
TiPdN2F: relaxed, GGA-PBE.

a b c (Å): 3.9583 3.9583 3.9550
angles (deg): 90.00 90.00 90.00
With the nearest neighbours (Å) after each atom.
Element x y z (fractional)
Ti1 0.0000 0.0000 0.0000  8 N 2.80, 4 F 2.80
Pd1 0.5000 0.5000 0.5000  2 F 1.98, 4 N 1.98
N1 0.0000 0.5000 0.5000  2 Pd 1.98
N2 0.5000 0.0000 0.5000  2 Pd 1.98
F1 0.5000 0.5000 0.0000  2 Pd 1.98

Values from the calculation:
DOS(E_F) in states/eV per cell: 3.10
Total moment in μB per formula unit: 0.00
Density in g/cm3: 5.39

=====

2:
TiPdN2F: relaxed, GGA-PBE.

a b c (Å): 3.9881 3.9881 3.8022
angles (deg): 90.00 90.00 90.00
With the nearest neighbours (Å) after each atom.
Element x y z (fractional)
Ti1 0.0000 0.0000 0.0000  2 F 1.90, 4 N 1.99
Pd1 0.5000 0.5000 0.5000  8 N 2.76, 4 F 2.82
N1 0.0000 0.5000 0.0000  2 Ti 1.99
N2 0.5000 0.0000 0.0000  2 Ti 1.99
F1 0.0000 0.0000 0.5000  2 Ti 1.90

Values from the calculation:
DOS(E_F) in states/eV per cell: 2.84
Total moment in μB per formula unit: 0.00
Density in g/cm3: 5.53

=====

Most stable: 2

=====

1:
TlPdN2F: relaxed, GGA-PBE.

a b c (Å): 4.3386 4.3386 4.5089
angles (deg): 90.00 90.00 90.00
With the nearest neighbours (Å) after each atom.
Element x y z (fractional)
Tl1 0.0000 0.0000 0.0000  4 N 2.17, 2 F 2.25
Pd1 0.5000 0.5000 0.5000  4 F 3.07, 8 N 3.13
N1 0.0000 0.5000 0.0000  2 Tl 2.17
N2 0.5000 0.0000 0.0000  2 Tl 2.17
F1 0.0000 0.0000 0.5000  2 Tl 2.25

Values from the calculation:
DOS(E_F) in states/eV per cell: 3.52
Total moment in μB per formula unit: 3.53
Density in g/cm3: 7.00

=====

2:
TlPdN2F: relaxed, GGA-PBE.

a b c (Å): 3.8180 3.8180 5.9833
angles (deg): 90.00 90.00 90.00
With the nearest neighbours (Å) after each atom.
Element x y z (fractional)
Tl1 0.0000 0.0000 0.0000  4 F 2.70
Pd1 0.5000 0.5000 0.5000  4 N 1.91
N1 0.0000 0.5000 0.5000  2 Pd 1.91
N2 0.5000 0.0000 0.5000  2 Pd 1.91
F1 0.5000 0.5000 0.0000  4 Tl 2.70, 2 Pd 2.99

Values from the calculation:
DOS(E_F) in states/eV per cell: 3.03
Total moment in μB per formula unit: 0.00
Density in g/cm3: 6.81

=====

Most stable: 2